1.
Computed, not measured: an optimized crystal structure of AcNb2Cr at the GGA-PBE level of DFT.

a = 3.1936 Å, b = 3.1936 Å, c = 29.4603 Å
α = 90.00°, β = 90.00°, γ = 120.00°
Last column: nearest neighbours and their distance in Å.
Fractional positions:
Ac 0.0000 0.0000 0.0000  2 Nb 3.12, 6 Ac 3.19
Ac 0.3333 0.6667 0.6667  2 Nb 3.12, 6 Ac 3.19
Ac 0.6667 0.3333 0.3333  2 Nb 3.12, 6 Ac 3.19
Nb 0.0000 0.0000 0.1058  3 Cr 2.57
Nb 0.0000 0.0000 0.8942  3 Cr 2.57
Nb 0.3333 0.6667 0.5609  3 Cr 2.57
Nb 0.3333 0.6667 0.7725  3 Cr 2.57
Nb 0.6667 0.3333 0.2275  3 Cr 2.57
Nb 0.6667 0.3333 0.4391  3 Cr 2.57
Cr 0.0000 0.0000 0.5000  6 Nb 2.57
Cr 0.3333 0.6667 0.1667  6 Nb 2.57
Cr 0.6667 0.3333 0.8333  6 Nb 2.57

2.
Computed, not measured: an optimized crystal structure of SmFeOs at the GGA-PBE level of DFT.

Properties
Excess energy over the best structure of this formula in the dataset: 335.2 meV/atom

a = 8.5722 Å, b = 5.4779 Å, c = 5.0672 Å
α = 90.00°, β = 107.71°, γ = 90.00°
Last column: nearest neighbours and their distance in Å.
Fractional positions:
Sm 0.1373 0.0000 0.3769  2 Fe 2.75, 1 Sm 2.98, 2 Os 3.00
Sm 0.3627 0.5000 0.6231  2 Fe 2.75, 1 Sm 2.98, 2 Os 3.00
Sm 0.6373 0.5000 0.3769  2 Fe 2.75, 1 Sm 2.98, 2 Os 3.00
Sm 0.8627 0.0000 0.6231  2 Fe 2.75, 1 Sm 2.98, 2 Os 3.00
Fe 0.2500 0.2500 0.0000  2 Os 2.48, 2 Fe 2.74, 2 Sm 2.75
Fe 0.2500 0.7500 0.0000  2 Os 2.48, 2 Fe 2.74, 2 Sm 2.75
Fe 0.7500 0.2500 0.0000  2 Os 2.48, 2 Fe 2.74, 2 Sm 2.75
Fe 0.7500 0.7500 0.0000  2 Os 2.48, 2 Fe 2.74, 2 Sm 2.75
Os 0.0100 0.5000 0.7478  2 Os 2.47-2.61, 2 Fe 2.48
Os 0.4900 0.0000 0.2522  2 Os 2.47-2.61, 2 Fe 2.48
Os 0.5100 0.0000 0.7478  2 Os 2.47-2.61, 2 Fe 2.48
Os 0.9900 0.5000 0.2522  2 Os 2.47-2.61, 2 Fe 2.48

3.
Computed, not measured: an optimized crystal structure of CeAg2F6 at the GGA-PBE level of DFT.

Properties
Raw formation energy: -2485 meV/atom

a = 6.1990 Å, b = 6.2040 Å, c = 10.3719 Å
α = 90.00°, β = 118.31°, γ = 90.00°
Last column: nearest neighbours and their distance in Å.
Fractional positions:
Ce 0.0000 0.0000 0.0000  6 F 2.18-2.20
Ce 0.0000 0.5000 0.5000  6 F 2.18-2.20
Ag 0.3229 0.0432 0.7857  5 F 2.34-2.57
Ag 0.3229 0.4568 0.2857  5 F 2.34-2.57
Ag 0.6771 0.5432 0.7143  5 F 2.34-2.57
Ag 0.6771 0.9568 0.2143  5 F 2.34-2.57
F 0.0397 0.1676 0.1949  1 Ce 2.18, 1 Ag 2.37
F 0.0397 0.3324 0.6949  1 Ce 2.18, 1 Ag 2.37
F 0.2702 0.7439 0.6359  1 Ce 2.20, 1 Ag 2.34
F 0.2702 0.7561 0.1359  1 Ce 2.20, 1 Ag 2.34
F 0.3237 0.1700 0.0208  1 Ce 2.19
F 0.3237 0.3300 0.5208  1 Ce 2.19
F 0.6763 0.6700 0.4792  1 Ce 2.19
F 0.6763 0.8300 0.9792  1 Ce 2.19
F 0.7298 0.2439 0.8641  1 Ce 2.20, 1 Ag 2.34
F 0.7298 0.2561 0.3641  1 Ce 2.20, 1 Ag 2.34
F 0.9603 0.6676 0.3051  1 Ce 2.18, 1 Ag 2.37
F 0.9603 0.8324 0.8051  1 Ce 2.18, 1 Ag 2.37

4.
Computed, not measured: an optimized crystal structure of K2CoBr6 at the GGA-PBE level of DFT.

Properties
Raw formation energy: -794 meV/atom

a = 6.9688 Å, b = 6.9688 Å, c = 13.6777 Å
α = 90.00°, β = 90.00°, γ = 90.00°
Last column: nearest neighbours and their distance in Å.
Fractional positions:
K 0.0000 0.0000 0.1680  6 Br 3.28-3.42
K 0.0000 0.0000 0.8320  6 Br 3.28-3.42
K 0.5000 0.5000 0.3320  6 Br 3.28-3.42
K 0.5000 0.5000 0.6680  6 Br 3.28-3.42
Co 0.0000 0.0000 0.5000  6 Br 2.40-2.42
Co 0.5000 0.5000 0.0000  6 Br 2.40-2.42
Br 0.1721 0.1721 0.3739  1 Co 2.42
Br 0.1721 0.1721 0.6261  1 Co 2.42
Br 0.2436 0.7564 0.5000  1 Co 2.40
Br 0.2564 0.2564 0.0000  1 Co 2.40
Br 0.3279 0.6721 0.1261  1 Co 2.42
Br 0.3279 0.6721 0.8739  1 Co 2.42
Br 0.6721 0.3279 0.1261  1 Co 2.42
Br 0.6721 0.3279 0.8739  1 Co 2.42
Br 0.7436 0.7436 0.0000  1 Co 2.40
Br 0.7564 0.2436 0.5000  1 Co 2.40
Br 0.8279 0.8279 0.3739  1 Co 2.42
Br 0.8279 0.8279 0.6261  1 Co 2.42

5.
Computed, not measured: an optimized crystal structure of Pu5InGe4 at the GGA-PBE level of DFT.

a = 3.8905 Å, b = 3.8905 Å, c = 14.8829 Å
α = 90.00°, β = 90.00°, γ = 90.00°
Last column: nearest neighbours and their distance in Å.
Fractional positions:
Pu 0.0000 0.0000 0.0000  2 Pu 2.86, 8 Ge 3.11
Pu 0.0000 0.0000 0.1919  2 Pu 2.82-2.86, 8 Ge 3.09-3.10
Pu 0.0000 0.0000 0.3814  1 Pu 2.82, 4 Ge 3.08
Pu 0.0000 0.0000 0.6186  1 Pu 2.82, 4 Ge 3.08
Pu 0.0000 0.0000 0.8081  2 Pu 2.82-2.86, 8 Ge 3.09-3.10
In 0.5000 0.5000 0.5000  2 Ge 3.15, 8 Pu 3.27
Ge 0.5000 0.5000 0.0978  2 Ge 2.83-2.91, 8 Pu 3.09-3.11
Ge 0.5000 0.5000 0.2881  1 Ge 2.83, 8 Pu 3.08-3.10, 1 In 3.15
Ge 0.5000 0.5000 0.7119  1 Ge 2.83, 8 Pu 3.08-3.10, 1 In 3.15
Ge 0.5000 0.5000 0.9022  2 Ge 2.83-2.91, 8 Pu 3.09-3.11

6.
Computed, not measured: an optimized crystal structure of TmBC at the GGA-PBE level of DFT.

Properties
Excess energy over the best structure of this formula in the dataset: 81.5 meV/atom

a = 3.0055 Å, b = 3.0055 Å, c = 3.9281 Å
α = 90.00°, β = 90.00°, γ = 120.00°
Last column: nearest neighbours and their distance in Å.
Fractional positions:
Tm 0.0000 0.0000 0.0000  6 B 2.62, 6 C 2.62
B 0.3333 0.6667 0.5000  3 C 1.74
C 0.6667 0.3333 0.5000  3 B 1.74

Which theoretical density belongs to each record? In order, 8.899, 11.617, 4.443, 3.083, 11.981, 10.362 g/cm3.
Which final energy belongs to each record? In order, -91.88, -95.10, -90.47, -52.97, -96.69, -21.52 eV/cell.